1.
Material: LaInTe2
Method: DFT, GGA-PBE
State: optimized geometry

The calculation puts the energy relative to the elements, uncorrected at -0.777 eV per atom. As for the size of the total moment: 0.0 μB per formula unit.

Cell and atoms, written as POSCAR:
```
LaInTe2
1.0
2.329 1.345 8.247
-2.329 1.345 8.247
0.000 -2.690 8.247
La In Te
1 1 2
Direct
0.000 0.000 0.000 La
0.252 0.252 0.252 In
0.534 0.534 0.534 Te
0.732 0.732 0.732 Te
```



2.
Material: LaInTe2
Method: DFT, GGA-PBE
State: optimized geometry

The calculation puts the energy relative to the elements, uncorrected at -1.039 eV per atom. As for the size of the total moment: 0.0 μB per formula unit.

Cell and atoms, written as POSCAR:
```
LaInTe2
1.0
8.342 -2.313 0.000
8.342 2.313 0.000
-1.284 0.000 7.909
La In Te
2 2 4
Direct
0.000 0.000 0.000 La
0.500 0.500 0.500 La
0.255 0.255 0.084 In
0.754 0.754 0.585 In
0.109 0.109 0.703 Te
0.386 0.386 0.796 Te
0.609 0.609 0.203 Te
0.886 0.886 0.295 Te
```



3.
Material: La3InTe6
Method: DFT, GGA-PBE
State: optimized geometry

The calculation puts the energy relative to the elements, uncorrected at -1.266 eV per atom. As for the size of the total moment: 0.0 μB per formula unit.

Cell and atoms, written as POSCAR:
```
La3InTe6
1.0
6.281 -7.798 0.000
6.281 7.798 0.000
0.000 0.000 7.621
La In Te
6 2 12
Direct
0.096 0.904 0.500 La
0.221 0.414 0.397 La
0.414 0.221 0.897 La
0.586 0.779 0.397 La
0.779 0.586 0.897 La
0.904 0.096 0.000 La
0.297 0.703 0.861 In
0.703 0.297 0.361 In
0.057 0.593 0.667 Te
0.128 0.198 0.700 Te
0.198 0.128 0.200 Te
0.277 0.723 0.229 Te
0.407 0.943 0.667 Te
0.465 0.535 0.705 Te
0.535 0.465 0.205 Te
0.593 0.057 0.167 Te
0.723 0.277 0.729 Te
0.802 0.872 0.700 Te
0.872 0.802 0.200 Te
0.943 0.407 0.167 Te
```



4.
Material: LaInTe2
Method: DFT, GGA-PBE
State: optimized geometry

The calculation puts the energy relative to the elements, uncorrected at -0.953 eV per atom. As for the size of the total moment: 0.0 μB per formula unit. The density of states at the Fermi level comes out at 0.219 states/eV/atom.

Cell and atoms, written as POSCAR:
```
LaInTe2
1.0
4.029 0.000 0.000
0.000 4.029 0.000
0.000 0.000 7.885
La In Te
1 1 2
Direct
0.000 0.000 0.000 La
0.000 0.000 0.500 In
0.500 0.500 0.231 Te
0.500 0.500 0.769 Te
```



5.
Material: LaIn2Te
Method: DFT, GGA-PBE
State: optimized geometry

The calculation puts the energy relative to the elements, uncorrected at -0.631 eV per atom. As for the size of the total moment: 0.0 μB per formula unit. The density of states at the Fermi level comes out at 0.693 states/eV/atom. The calculation puts the energy above the most stable polymorph in this dataset at 23 meV/atom.

Cell and atoms, written as POSCAR:
```
LaIn2Te
1.0
4.204 0.000 0.000
0.000 4.197 0.000
-0.002 0.000 6.810
La In Te
1 2 1
Direct
0.000 0.000 0.000 La
0.498 0.500 0.292 In
0.997 0.000 0.498 In
0.500 0.500 0.796 Te
```



6.
Material: LaIn2Te
Method: DFT, GGA-PBE
State: optimized geometry

The calculation puts the energy relative to the elements, uncorrected at -0.638 eV per atom. As for the size of the total moment: 0.0 μB per formula unit. The density of states at the Fermi level comes out at 0.602 states/eV/atom. The calculation puts the energy above the most stable polymorph in this dataset at 17 meV/atom.

Cell and atoms, written as POSCAR:
```
LaIn2Te
1.0
3.198 -6.109 0.000
3.198 6.109 0.000
-3.149 0.000 3.228
La In Te
1 2 1
Direct
0.000 0.000 0.000 La
0.000 0.500 0.500 In
0.500 0.000 0.500 In
0.500 0.500 0.000 Te
```



7.
Material: LaInTe2
Method: DFT, GGA-PBE
State: optimized geometry

The calculation puts the energy relative to the elements, uncorrected at -0.939 eV per atom. As for the size of the total moment: 0.0 μB per formula unit. The density of states at the Fermi level comes out at 0.296 states/eV/atom.

Cell and atoms, written as POSCAR:
```
LaInTe2
1.0
5.399 0.000 0.000
0.000 5.399 0.000
0.000 0.000 4.128
La In Te
1 1 2
Direct
0.000 0.000 0.000 La
0.500 0.500 0.000 In
0.000 0.500 0.500 Te
0.500 0.000 0.500 Te
```



8.
Material: La2In2Te
Method: DFT, GGA-PBE
State: optimized geometry

The calculation puts the energy relative to the elements, uncorrected at -0.600 eV per atom. As for the size of the total moment: 0.0 μB per formula unit. The density of states at the Fermi level comes out at 0.085 states/eV/atom. The calculation puts the energy above the most stable polymorph in this dataset at 54 meV/atom.

Cell and atoms, written as POSCAR:
```
La2In2Te
1.0
8.335 0.000 0.000
0.000 8.335 0.000
0.000 0.000 4.540
La In Te
4 4 2
Direct
0.175 0.325 0.000 La
0.325 0.825 0.000 La
0.675 0.175 0.000 La
0.825 0.675 0.000 La
0.125 0.625 0.500 In
0.375 0.125 0.500 In
0.625 0.875 0.500 In
0.875 0.375 0.500 In
0.000 0.000 0.500 Te
0.500 0.500 0.500 Te
```



Question: Number 5 is which compound?
Answer: LaIn2Te